No. 1
A plane-wave DFT calculation with PBE-GGA was carried out for a relaxed PmGdDy2 crystal.

Cell: 5.0397 5.0680 5.0680 Å, 90.00 90.00 90.00°
Site moments in Bohr magnetons follow the coordinates.
Fractional positions:
Gd1 0.5000 0.0000 0.0000  7.15
Pm1 0.5000 0.5000 0.5000  -0.05
Dy1 0.0000 0.0000 0.5000  -0.04
Dy2 0.0000 0.5000 0.0000  -0.04

Values from the calculation:
Energy of formation: 1.50 kJ/mol of atoms
Uncorrected energy: -6.993 eV per atom
Density of states at the Fermi level: 6.3 states/eV/f.u.
Theoretical density: 8.05 g cm⁻³
Energy above the lowest structure with this stoichiometry: 0.000 eV/atom

No. 2
A plane-wave DFT calculation with PBE-GGA was carried out for a relaxed CoB2Pd crystal.

Cell: 4.5508 4.5508 5.6700 Å, 66.34 66.34 90.00°
Fractional positions:
B1 0.5849 0.1250 0.2500
B2 0.1651 0.6250 0.2500
B3 0.3750 0.4151 0.7500
B4 0.8750 0.8349 0.7500
Co1 0.5000 0.5000 0.0000
Co2 0.2500 0.7500 0.5000
Pd1 0.0000 0.0000 0.0000
Pd2 0.7500 0.2500 0.5000

Values from the calculation:
Energy of formation: 42.87 kJ/mol of atoms
Uncorrected energy: -5.969 eV per atom
Density of states at the Fermi level: 2.0 states/eV/f.u.
Theoretical density: 6.42 g cm⁻³
Energy above the lowest structure with this stoichiometry: 0.073 eV/atom

No. 3
A plane-wave DFT calculation with PBE-GGA was carried out for a relaxed CsSn3Bi3 crystal.

Cell: 8.6780 8.6780 8.6780 Å, 90.00 90.00 90.00°
Fractional positions:
Cs1 0.5000 0.5000 0.5000
Cs2 0.0000 0.0000 0.0000
Bi1 0.0000 0.2500 0.5000
Bi2 0.0000 0.7500 0.5000
Bi3 0.5000 0.0000 0.7500
Bi4 0.7500 0.5000 0.0000
Bi5 0.5000 0.0000 0.2500
Bi6 0.2500 0.5000 0.0000
Sn1 0.2500 0.0000 0.5000
Sn2 0.0000 0.5000 0.2500
Sn3 0.5000 0.7500 0.0000
Sn4 0.7500 0.0000 0.5000
Sn5 0.0000 0.5000 0.7500
Sn6 0.5000 0.2500 0.0000

Values from the calculation:
Energy of formation: -2.08 kJ/mol of atoms
Uncorrected energy: -3.522 eV per atom
Density of states at the Fermi level: 5.4 states/eV/f.u.
Theoretical density: 5.67 g cm⁻³

No. 4
A plane-wave DFT calculation with PBE-GGA was carried out for a relaxed LiLa2CeS5 crystal.

Cell: 4.0786 8.6197 12.1307 Å, 90.00 90.00 103.69°
Site moments in Bohr magnetons follow the coordinates.
Fractional positions:
Li1 0.5133 0.0265 0.9804  0.00
Li2 0.4867 0.9734 0.4804  0.00
La1 0.8770 0.7540 0.8000  0.01
La2 0.1104 0.2209 0.6849  0.01
La3 0.1230 0.2460 0.3000  0.01
La4 0.8896 0.7792 0.1849  0.01
Ce1 0.8027 0.6053 0.5020  0.74
Ce2 0.1973 0.3947 0.0020  0.74
S1 0.3637 0.7273 0.9999  -0.01
S2 0.6923 0.3846 0.8431  -0.01
S3 0.5006 0.0012 0.7829  0.00
S4 0.2910 0.5820 0.6621  -0.01
S5 0.9557 0.9114 0.5686  -0.01
S6 0.6363 0.2727 0.5000  -0.01
S7 0.3077 0.6154 0.3431  -0.01
S8 0.4994 0.9988 0.2829  0.00
S9 0.7090 0.4180 0.1620  -0.01
S10 0.0443 0.0886 0.0686  -0.01

Values from the calculation:
Uncorrected energy: -6.223 eV per atom
Density of states at the Fermi level: 5.8 states/eV/f.u.
Energy relative to the elements, uncorrected: -1.963 eV per atom
Theoretical density: 4.69 g cm⁻³